No. 1
This record from the Alexandria database describes crystalline LiDyZn3 at its relaxed geometry. The functional is PBE-GGA.

Unit cell a=5.9432 b=5.9432 c=5.9262 alpha=90.00 beta=90.00 gamma=118.51
Last column: nearest neighbours and their distance in Å.
Positions (direct):
Li  0.1012  0.8988  0.7500  5 Zn 2.44-2.50
Li  0.8988  0.1012  0.2500  5 Zn 2.44-2.50
Dy  0.2328  0.7672  0.2500  12 Zn 3.13-3.37, 5 Li 3.25-3.48
Dy  0.7672  0.2328  0.7500  12 Zn 3.13-3.37, 5 Li 3.25-3.48
Zn  0.2832  0.2832  0.0000  2 Li 2.50, 3 Zn 2.57-2.63
Zn  0.2832  0.2832  0.5000  2 Li 2.50, 3 Zn 2.57-2.63
Zn  0.3404  0.6596  0.7500  1 Li 2.44, 4 Zn 2.57
Zn  0.6596  0.3404  0.2500  1 Li 2.44, 4 Zn 2.57
Zn  0.7168  0.7168  0.0000  2 Li 2.50, 3 Zn 2.57-2.63
Zn  0.7168  0.7168  0.5000  2 Li 2.50, 3 Zn 2.57-2.63

Output
- DOS at the Fermi energy: 0.713 states/eV per atom
- Calculated formation energy: -197 meV/atom
- Space-group type: Cmcm

***

No. 2
This record from the Alexandria database describes crystalline LiDyZn at its relaxed geometry. The functional is PBE-GGA.

Unit cell a=5.5777 b=5.5777 c=8.6159 alpha=95.02 beta=95.02 gamma=34.74
Last column: nearest neighbours and their distance in Å.
Positions (direct):
Li  0.1219  0.1219  0.4285  1 Zn 2.67, 1 Li 2.97
Li  0.8781  0.8781  0.5715  1 Zn 2.67, 1 Li 2.97
Dy  0.1941  0.1941  0.8160  4 Zn 2.94-3.02
Dy  0.8059  0.8059  0.1840  4 Zn 2.94-3.02
Zn  0.0800  0.0800  0.1184  1 Zn 2.54, 1 Li 2.67
Zn  0.9200  0.9200  0.8816  1 Zn 2.54, 1 Li 2.67

Output
- DOS at the Fermi energy: 0.666 states/eV per atom
- Calculated formation energy: 101 meV/atom
- Space-group type: C2/m
- Excess energy over the best structure of this formula in the dataset: 0.2204 eV/atom

***

No. 3
This record from the Alexandria database describes crystalline LiDy2Zr at its relaxed geometry. The functional is PBE-GGA.

Unit cell a=3.4348 b=3.4348 c=8.9653 alpha=90.00 beta=90.00 gamma=90.00
Last column: nearest neighbours and their distance in Å.
Positions (direct):
Li  0.0000  0.0000  0.0000  8 Dy 3.31, 4 Li 3.43
Dy  0.5000  0.5000  0.2516  4 Zr 3.30, 4 Li 3.31, 4 Dy 3.43
Dy  0.5000  0.5000  0.7484  4 Zr 3.30, 4 Li 3.31, 4 Dy 3.43
Zr  0.0000  0.0000  0.5000  8 Dy 3.30, 4 Zr 3.43

Output
- DOS at the Fermi energy: 0.977 states/eV per atom
- Calculated formation energy: 75 meV/atom
- Space-group type: P4/mmm
- Excess energy over the best structure of this formula in the dataset: 0.0000 eV/atom

***

No. 4
This record from the Alexandria database describes crystalline LiDy2Zr at its relaxed geometry. The functional is PBE-GGA.

Unit cell a=11.1790 b=11.1790 c=11.1790 alpha=17.35 beta=17.35 gamma=17.35
Last column: nearest neighbours and their distance in Å.
Positions (direct):
Li  0.0000  0.0000  0.0000  6 Li 3.37, 6 Dy 3.46
Dy  0.2466  0.2466  0.2466  3 Zr 3.28, 6 Dy 3.37, 3 Li 3.46
Dy  0.7534  0.7534  0.7534  3 Zr 3.28, 6 Dy 3.37, 3 Li 3.46
Zr  0.5000  0.5000  0.5000  6 Dy 3.28, 6 Zr 3.37

Output
- DOS at the Fermi energy: 1.064 states/eV per atom
- Calculated formation energy: 107 meV/atom
- Space-group type: R-3m
- Excess energy over the best structure of this formula in the dataset: 0.0325 eV/atom

***

No. 5
This record from the Alexandria database describes crystalline LiDy2Zr at its relaxed geometry. The functional is PBE-GGA.

Unit cell a=5.5156 b=5.5156 c=3.4298 alpha=90.00 beta=90.00 gamma=90.00
Last column: nearest neighbours and their distance in Å.
Positions (direct):
Li  0.0000  0.0000  0.0000  8 Dy 3.25, 2 Li 3.43
Dy  0.0000  0.5000  0.5000  4 Zr 3.25, 4 Li 3.25, 2 Dy 3.43
Dy  0.5000  0.0000  0.5000  4 Zr 3.25, 4 Li 3.25, 2 Dy 3.43
Zr  0.5000  0.5000  0.0000  8 Dy 3.25, 2 Zr 3.43

Output
- DOS at the Fermi energy: 1.178 states/eV per atom
- Calculated formation energy: 179 meV/atom
- Space-group type: P4/mmm
- Excess energy over the best structure of this formula in the dataset: 0.1038 eV/atom

***

No. 6
This record from the Alexandria database describes crystalline LiDy2Zr at its relaxed geometry. The functional is PBE-GGA.

Unit cell a=11.1841 b=11.1841 c=11.1841 alpha=17.36 beta=17.36 gamma=17.36
Last column: nearest neighbours and their distance in Å.
Positions (direct):
Li  0.0000  0.0000  0.0000  6 Li 3.38, 6 Dy 3.47-3.48
Dy  0.2465  0.2465  0.2465  3 Zr 3.28, 6 Dy 3.38, 3 Li 3.47
Dy  0.4204  0.4204  0.4204  3 Zr 3.27, 6 Dy 3.38, 3 Li 3.48
Zr  0.8334  0.8334  0.8334  6 Dy 3.27-3.28, 6 Zr 3.38

Output
- DOS at the Fermi energy: 1.118 states/eV per atom
- Calculated formation energy: 110 meV/atom
- Space-group type: R3m
- Excess energy over the best structure of this formula in the dataset: 0.0353 eV/atom